# 1
A relaxed ScMoPb2 crystal. Source: Alexandria, functional PBE.

Calculated values
Fermi-level density of states   0.852 states/eV per atom
Offset from the most stable computed form   81.9 meV/atom
Formation enthalpy at 0 K   0.319 eV per atom
Total moment   0.7 Bohr magnetons per cell

Lattice parameters (Å, degrees): 10.620 10.620 10.620 17.78 17.78 17.78
Sites, in units of the cell vectors:
Sc  0.000  0.000  0.000
Mo  0.733  0.733  0.733
Pb  0.244  0.244  0.244
Pb  0.474  0.474  0.474


# 2
A relaxed ScMoPb2 crystal. Source: Alexandria, functional PBE.

Calculated values
Fermi-level density of states   0.748 states/eV per atom
Offset from the most stable computed form   58.9 meV/atom
Formation enthalpy at 0 K   0.296 eV per atom
Total moment   0.0 Bohr magnetons per cell

Lattice parameters (Å, degrees): 3.068 3.068 10.695 90.00 90.00 90.00
Sites, in units of the cell vectors:
Sc  0.000  0.000  0.000
Mo  0.500  0.500  0.193
Pb  0.000  0.000  0.409
Pb  0.500  0.500  0.754


# 3
A relaxed ScMoPb2 crystal. Source: Alexandria, functional PBE.

Calculated values
Fermi-level density of states   0.920 states/eV per atom
Offset from the most stable computed form   131.3 meV/atom
Formation enthalpy at 0 K   0.368 eV per atom
Total moment   1.0 Bohr magnetons per cell

Lattice parameters (Å, degrees): 3.282 3.282 9.295 90.00 90.00 113.27
Sites, in units of the cell vectors:
Sc  0.000  0.000  0.000
Mo  0.000  0.000  0.500
Pb  0.500  0.500  0.263
Pb  0.500  0.500  0.737


# 4
A relaxed ScMoPb2 crystal. Source: Alexandria, functional PBE.

Calculated values
Fermi-level density of states   0.599 states/eV per atom
Offset from the most stable computed form   87.8 meV/atom
Formation enthalpy at 0 K   0.325 eV per atom
Total moment   0.9 Bohr magnetons per cell

Lattice parameters (Å, degrees): 5.230 5.230 3.465 97.52 97.52 104.49
Sites, in units of the cell vectors:
Sc  0.000  0.000  0.000
Mo  0.500  0.500  0.000
Pb  0.000  0.500  0.500
Pb  0.500  0.000  0.500


# 5
A relaxed ScMoPb2 crystal. Source: Alexandria, functional PBE.

Calculated values
Fermi-level density of states   0.675 states/eV per atom
Offset from the most stable computed form   9.2 meV/atom
Formation enthalpy at 0 K   0.246 eV per atom
Total moment   0.0 Bohr magnetons per cell

Lattice parameters (Å, degrees): 5.507 5.507 5.507 139.23 123.52 71.97
Sites, in units of the cell vectors:
Sc  0.000  0.000  0.000
Mo  0.500  0.500  0.000
Pb  0.256  0.756  0.500
Pb  0.744  0.244  0.500


# 6
A relaxed ScMoPb3 crystal. Source: Alexandria, functional PBE.

Calculated values
Fermi-level density of states   1.197 states/eV per atom
Offset from the most stable computed form   0.0 meV/atom
Formation enthalpy at 0 K   0.681 eV per atom
Total moment   1.4 Bohr magnetons per cell

Lattice parameters (Å, degrees): 5.381 5.381 5.381 90.00 90.00 90.00
Sites, in units of the cell vectors:
Sc  0.000  0.000  0.000
Mo  0.500  0.500  0.500
Pb  0.000  0.500  0.500
Pb  0.500  0.000  0.500
Pb  0.500  0.500  0.000


# 7
A relaxed ScMoPb2 crystal. Source: Alexandria, functional PBE.

Calculated values
Fermi-level density of states   0.643 states/eV per atom
Offset from the most stable computed form   48.3 meV/atom
Formation enthalpy at 0 K   0.285 eV per atom
Total moment   0.6 Bohr magnetons per cell

Lattice parameters (Å, degrees): 3.503 3.503 7.190 90.00 90.00 90.00
Sites, in units of the cell vectors:
Sc  0.000  0.000  0.000
Mo  0.000  0.000  0.500
Pb  0.500  0.500  0.274
Pb  0.500  0.500  0.726


# 8
A relaxed ScMoPb2 crystal. Source: Alexandria, functional PBE.

Calculated values
Fermi-level density of states   0.859 states/eV per atom
Offset from the most stable computed form   111.9 meV/atom
Formation enthalpy at 0 K   0.349 eV per atom
Total moment   0.0 Bohr magnetons per cell

Lattice parameters (Å, degrees): 9.554 9.554 9.554 20.19 20.19 20.19
Sites, in units of the cell vectors:
Sc  0.000  0.000  0.000
Mo  0.500  0.500  0.500
Pb  0.243  0.243  0.243
Pb  0.757  0.757  0.757